Entry from Alexandria: a geometry-optimized MnGaBr3 structure (GGA-PBE).

Calculated values
* energy above the most stable polymorph in this dataset: 0.206 eV/atom
* space-group type: Pm-3m, No. 221
* uncorrected formation energy: -44 kJ/mol of atoms
* final energy: -19.504 eV per cell

The structure in CIF format:
```
data_MnGaBr3
_cell_length_a 5.0011
_cell_length_b 5.0011
_cell_length_c 5.0011
_cell_angle_alpha 90.00
_cell_angle_beta 90.00
_cell_angle_gamma 90.00
_symmetry_space_group_name_H-M 'P 1'
_symmetry_Int_Tables_number 1
_symmetry_space_group_name_Hall 'P 1'
loop_
_atom_site_label
_atom_site_type_symbol
_atom_site_fract_x
_atom_site_fract_y
_atom_site_fract_z
_atom_site_occupancy
Mn1 Mn 0.0000 0.0000 0.0000 1
Ga1 Ga 0.5000 0.5000 0.5000 1
Br1 Br 0.0000 0.5000 0.0000 1
Br2 Br 0.0000 0.0000 0.5000 1
Br3 Br 0.5000 0.0000 0.0000 1
```